Computed, not measured: a relaxed structure of BaZn2Hg at the PBE level of DFT.

Unit cell a=5.135 b=5.135 c=10.220 alpha=75.45 beta=75.45 gamma=90.00
Element x y z (fractional)
Zn 0.878 0.125 0.250
Zn 0.872 0.625 0.250
Zn 0.375 0.122 0.750
Zn 0.875 0.128 0.750
Hg 0.000 0.000 0.000
Hg 0.750 0.250 0.500
Ba 0.500 0.500 0.000
Ba 0.250 0.750 0.500

Calculated values
Spin magnetization = 0.0 Bohr magnetons per cell
Symmetry = I-42d

Computed, not measured: a relaxed structure of ZnO at the PBE level of DFT.

Unit cell a=8.846 b=8.846 c=3.404 alpha=90.00 beta=90.00 gamma=90.00
Element x y z (fractional)
Zn 0.780 0.629 0.500
Zn 0.220 0.371 0.500
Zn 0.371 0.780 0.500
Zn 0.629 0.220 0.500
Zn 0.887 0.384 0.000
Zn 0.113 0.616 0.000
Zn 0.616 0.887 0.000
Zn 0.384 0.113 0.000
O 0.773 0.387 0.500
O 0.227 0.613 0.500
O 0.613 0.773 0.500
O 0.387 0.227 0.500
O 0.894 0.635 0.000
O 0.106 0.365 0.000
O 0.365 0.894 0.000
O 0.635 0.106 0.000

Calculated values
ΔE_f (raw) = -1.3021 eV/atom
Spin magnetization = 0.0 Bohr magnetons per cell
Symmetry = P4/m

| no. | E_tot (eV per atom) |
| --- | --- |
| 1 | -1.33 |
| 2 | -4.42 |